Computed, not measured: Hf6Cd2N after structural relaxation at the PBE level of DFT.

```
9
Lattice="-3.1423 3.1423 4.4608 3.1423 -3.1423 4.4608 3.1423 3.1423 -4.4608" Properties=species:S:1:pos:R:3 pbc="T T T"
Hf 1.5504 1.5504 0.0000
Hf 1.5919 -1.5919 4.4608
Hf 0.0000 0.0000 2.2156
Hf 0.0000 0.0000 6.7060
Hf -1.5919 1.5919 4.4608
Hf 1.5919 1.5919 4.4608
Cd 3.1423 0.0000 2.2304
Cd 0.0000 3.1423 2.2304
N 0.0000 0.0000 4.4608
```

Results
- Energy relative to the elements, uncorrected: -0.356 eV/atom
- Size of the total moment: 0.0 μB per formula unit
- Total DFT energy (no corrections): -73.08 eV for the cell shown

Computed, not measured: Y2HoErS4 after structural relaxation at the PBE level of DFT.

```
8
Lattice="6.7640 0.0000 0.0000 0.0000 3.8664 0.0000 -2.2173 0.0000 6.3974" Properties=species:S:1:pos:R:3 pbc="T T T"
Y 0.0000 0.0000 0.0000
Y 3.3820 1.9332 0.0000
Ho -1.1087 1.9332 3.1987
Er 2.2733 0.0000 3.1987
S 0.0340 0.0000 4.7727
S 1.1433 1.9332 1.6291
S 3.4034 1.9332 4.7683
S 4.5127 0.0000 1.6247
```

Results
- Energy relative to the elements, uncorrected: -1.978 eV/atom
- Size of the total moment: 0.0 μB per formula unit
- Total DFT energy (no corrections): -54.41 eV for the cell shown